TlAgTe3Pb | GGA-PBE | optimized geometry

**Final energy**: -0.11646 hartree per atom
**Crystal system**: orthorhombic
**Space group**: Cmcm (63)

Cell: 7.6170 7.6170 11.9808 Å, 90.00 90.00 31.48°
With the nearest neighbours (Å) after each atom.
Sites, in units of the cell vectors:
1 Ag 0.4475 0.4475 0.2500  4 Te 2.80-2.89
2 Ag 0.5525 0.5525 0.7500  4 Te 2.80-2.89
3 Pb 0.0000 0.0000 0.0000  6 Te 3.20-3.21
4 Pb 0.0000 0.0000 0.5000  6 Te 3.20-3.21
5 Te 0.3379 0.3379 0.0500  1 Ag 2.89, 2 Pb 3.21
6 Te 0.0767 0.0767 0.2500  2 Ag 2.80
7 Te 0.3379 0.3379 0.4500  1 Ag 2.89, 2 Pb 3.21
8 Te 0.6621 0.6621 0.5500  1 Ag 2.89, 2 Pb 3.21
9 Te 0.9233 0.9233 0.7500  2 Ag 2.80
10 Te 0.6621 0.6621 0.9500  1 Ag 2.89, 2 Pb 3.21
11 Tl 0.7559 0.7559 0.2500  6 Te 3.34-3.39, 2 Ag 3.49
12 Tl 0.2441 0.2441 0.7500  6 Te 3.34-3.39, 2 Ag 3.49


SmAlRe | GGA-PBE | optimized geometry

**Distance to the lowest polymorph of the same formula**: 833 meV per atom
**Crystal system**: cubic
**Total magnetic moment**: 0.33 μB per atom
**Space group**: F-43m (216)

Cell: 4.7261 4.7261 4.7261 Å, 60.00 60.00 60.00°
With the nearest neighbours (Å) after each atom.
Sites, in units of the cell vectors:
1 Al 0.2500 0.2500 0.2500  4 Sm 2.89
2 Re 0.7500 0.7500 0.7500  4 Sm 2.89
3 Sm 0.0000 0.0000 0.0000  4 Re 2.89, 4 Al 2.89


TaAl5 | GGA-PBE | optimized geometry

**Distance to the lowest polymorph of the same formula**: 82 meV per atom
**Crystal system**: hexagonal
**Total magnetic moment**: 0.00 μB per atom
**Space group**: P6_3/mmc (194)

Cell: 5.1886 5.1886 16.6537 Å, 90.00 90.00 120.00°
With the nearest neighbours (Å) after each atom.
Sites, in units of the cell vectors:
1 Al 0.5000 0.0000 0.0000  6 Al 2.58-2.59
2 Al 0.0000 0.5000 0.0000  6 Al 2.58-2.59
3 Al 0.5000 0.5000 0.0000  6 Al 2.58-2.59
4 Al 0.3333 0.6667 0.1258  6 Al 2.58
5 Al 0.6667 0.3333 0.1521  13 Al 2.94-3.26, 3 Ta 3.13
6 Al 0.1612 0.3224 0.2500  6 Al 2.51-2.68
7 Al 0.1612 0.8388 0.2500  6 Al 2.51-2.68
8 Al 0.6776 0.8388 0.2500  6 Al 2.51-2.68
9 Al 0.6667 0.3333 0.3479  13 Al 2.94-3.26, 3 Ta 3.13
10 Al 0.3333 0.6667 0.3742  6 Al 2.58
11 Al 0.5000 0.0000 0.5000  6 Al 2.58-2.59
12 Al 0.0000 0.5000 0.5000  6 Al 2.58-2.59
13 Al 0.5000 0.5000 0.5000  6 Al 2.58-2.59
14 Al 0.6667 0.3333 0.6258  6 Al 2.58
15 Al 0.3333 0.6667 0.6521  13 Al 2.94-3.26, 3 Ta 3.13
16 Al 0.3224 0.1612 0.7500  6 Al 2.51-2.68
17 Al 0.8388 0.1612 0.7500  6 Al 2.51-2.68
18 Al 0.8388 0.6776 0.7500  6 Al 2.51-2.68
19 Al 0.3333 0.6667 0.8479  13 Al 2.94-3.26, 3 Ta 3.13
20 Al 0.6667 0.3333 0.8742  6 Al 2.58
21 Ta 0.0000 0.0000 0.0971  15 Al 2.93-3.13, 1 Ta 3.23
22 Ta 0.0000 0.0000 0.4029  15 Al 2.93-3.13, 1 Ta 3.23
23 Ta 0.0000 0.0000 0.5971  15 Al 2.93-3.13, 1 Ta 3.23
24 Ta 0.0000 0.0000 0.9029  15 Al 2.93-3.13, 1 Ta 3.23